No. 1
Computed, not measured: a relaxed structure of LaAsBr2 at the PBE level of DFT.

abc: 4.451 4.560 7.311
angles: 56.16 90.00 90.00
Fractional coordinates of all 4 atoms:
Br: 0.000 0.039 0.029
Br: 0.500 0.340 0.272
La: 0.000 0.344 0.559
As: 0.500 0.777 0.640

Summary:
energy above the lowest structure with this stoichiometry	8.0	kJ/mol of atoms
energy relative to the elements, uncorrected	-458	kJ/mol of formula units



No. 2
Computed, not measured: a relaxed structure of LiNi9S10 at the PBE level of DFT.

abc: 5.989 8.602 11.619
angles: 64.47 90.00 90.00
Fractional coordinates of all 40 atoms:
S: 0.821 0.044 0.307
S: 0.833 0.443 0.712
S: 0.334 0.770 0.987
S: 0.667 0.443 0.212
S: 0.167 0.557 0.288
S: 0.321 0.956 0.193
S: 0.150 0.338 0.107
S: 0.350 0.338 0.607
S: 0.835 0.836 0.107
S: 0.665 0.836 0.607
S: 0.166 0.770 0.487
S: 0.179 0.956 0.693
S: 0.335 0.164 0.393
S: 0.834 0.230 0.513
S: 0.850 0.662 0.893
S: 0.679 0.044 0.807
S: 0.666 0.230 0.013
S: 0.650 0.662 0.393
S: 0.165 0.164 0.893
S: 0.333 0.557 0.788
Ni: 0.000 0.000 0.500
Ni: 0.490 0.699 0.193
Ni: 0.500 0.000 0.000
Ni: 0.999 0.405 0.904
Ni: 0.003 0.206 0.700
Ni: 0.499 0.595 0.596
Ni: 0.990 0.301 0.307
Ni: 0.001 0.595 0.096
Ni: 0.002 0.908 0.904
Ni: 0.510 0.301 0.807
Ni: 0.498 0.908 0.404
Ni: 0.502 0.092 0.596
Ni: 0.497 0.206 0.200
Ni: 0.501 0.405 0.404
Ni: 0.010 0.699 0.693
Ni: 0.998 0.092 0.096
Ni: 0.997 0.794 0.300
Ni: 0.503 0.794 0.800
Li: 0.500 0.500 0.000
Li: 0.000 0.500 0.500

Summary:
energy above the lowest structure with this stoichiometry	0.0	kJ/mol of atoms
DOS at the Fermi energy	0.60	states/eV/atom
energy relative to the elements, uncorrected	-672	kJ/mol of formula units



No. 3
Computed, not measured: a relaxed structure of BeHgH at the PBE level of DFT.

abc: 2.717 5.481 6.350
angles: 75.95 77.65 75.65
Fractional coordinates of all 6 atoms:
Hg: 0.943 0.756 0.358
Hg: 0.057 0.244 0.642
H: 0.702 0.701 0.894
H: 0.298 0.299 0.106
Be: 0.876 0.172 0.077
Be: 0.124 0.828 0.923

Summary:
DOS at the Fermi energy	0.20	states/eV/atom
E_tot	-12.790	eV for the cell shown



No. 4
Computed, not measured: a relaxed structure of LiCr2Pb at the PBE level of DFT.

abc: 3.070 4.136 5.192
angles: 90.00 90.00 90.00
Fractional coordinates of all 4 atoms:
Cr: 0.000 0.000 0.072
Cr: 0.000 0.000 0.428
Pb: 0.500 0.500 0.750
Li: 0.500 0.500 0.250

Summary:
DOS at the Fermi energy	0.91	states/eV/atom
ΔH_f (0 K)	0.675	eV per atom



No. 5
Computed, not measured: a relaxed structure of TePt2Rh at the PBE level of DFT.

abc: 3.866 3.866 10.005
angles: 78.86 78.86 90.00
Fractional coordinates of all 8 atoms:
Te: 0.750 0.250 0.500
Te: 0.000 0.000 0.000
Pt: 0.875 0.866 0.750
Pt: 0.616 0.125 0.250
Pt: 0.134 0.625 0.250
Pt: 0.375 0.384 0.750
Rh: 0.250 0.750 0.500
Rh: 0.500 0.500 0.000

Summary:
energy above the lowest structure with this stoichiometry	2.1	kJ/mol of atoms
DOS at the Fermi energy	0.69	states/eV/atom
energy relative to the elements, uncorrected	1	kJ/mol of formula units



No. 6
Computed, not measured: a relaxed structure of Ga2GeTe2 at the PBE level of DFT.

abc: 5.591 5.591 5.679
angles: 60.51 60.51 90.00
Fractional coordinates of all 5 atoms:
Ge: 0.000 0.000 0.000
Te: 0.750 0.250 0.500
Te: 0.250 0.750 0.500
Ga: 0.656 0.656 0.689
Ga: 0.344 0.344 0.311

Summary:
energy above the lowest structure with this stoichiometry	0.0	kJ/mol of atoms
DOS at the Fermi energy	0.52	states/eV/atom
energy relative to the elements, uncorrected	39	kJ/mol of formula units



No. 7
Computed, not measured: a relaxed structure of BaNiRu2 at the PBE level of DFT.

abc: 3.945 3.945 4.929
angles: 90.00 90.00 90.00
Fractional coordinates of all 4 atoms:
Ni: 0.500 0.000 0.500
Ru: 0.500 0.500 0.000
Ru: 0.000 0.000 0.000
Ba: 0.000 0.500 0.500

Summary:
energy above the lowest structure with this stoichiometry	81.0	kJ/mol of atoms
DOS at the Fermi energy	1.66	states/eV/atom
ΔH_f (0 K)	1.086	eV per atom



No. 8
Computed, not measured: a relaxed structure of SbTe2SI at the PBE level of DFT.

abc: 5.788 5.788 5.949
angles: 90.00 90.00 90.00
Fractional coordinates of all 5 atoms:
Te: 0.000 0.500 0.000
Te: 0.500 0.000 0.000
I: 0.000 0.000 0.500
S: 0.500 0.500 0.500
Sb: 0.000 0.000 0.000

Summary:
energy above the lowest structure with this stoichiometry	30.2	kJ/mol of atoms
DOS at the Fermi energy	1.68	states/eV/atom
energy relative to the elements, uncorrected	390	kJ/mol of formula units



No. 9
Computed, not measured: a relaxed structure of Pr2ThAg3 at the PBE level of DFT.

abc: 3.745 3.745 11.436
angles: 90.00 90.00 90.00
Fractional coordinates of all 6 atoms:
Ag: 0.000 0.000 0.333
Ag: 0.000 0.000 0.000
Ag: 0.000 0.000 0.667
Pr: 0.500 0.500 0.833
Pr: 0.500 0.500 0.167
Th: 0.500 0.500 0.500

Summary:
DOS at the Fermi energy	1.00	states/eV/atom
ΔH_f (0 K)	-0.167	eV per atom



No. 10
Computed, not measured: a relaxed structure of Tm2Ni2Hg at the PBE level of DFT.

abc: 3.638 3.870 7.223
angles: 105.54 90.00 90.00
Fractional coordinates of all 5 atoms:
Tm: 0.500 0.363 0.725
Tm: 0.500 0.637 0.275
Ni: 0.000 0.801 0.602
Ni: 0.000 0.199 0.398
Hg: 0.000 0.000 0.000

Summary:
DOS at the Fermi energy	0.62	states/eV/atom
ΔH_f (0 K)	-0.527	eV per atom



No. 11
Computed, not measured: a relaxed structure of MgAl6Ga at the PBE level of DFT.

abc: 4.120 8.244 5.788
angles: 135.41 90.00 90.00
Fractional coordinates of all 8 atoms:
Al: 0.000 0.370 0.249
Al: 0.000 0.376 0.752
Al: 0.500 0.620 0.752
Al: 0.500 0.129 0.258
Al: 0.000 0.879 0.249
Al: 0.500 0.132 0.752
Mg: 0.000 0.871 0.742
Ga: 0.500 0.623 0.246

Summary:
DOS at the Fermi energy	0.35	states/eV/atom
ΔH_f (0 K)	-0.001	eV per atom



No. 12
Computed, not measured: a relaxed structure of TlGa2Sn at the PBE level of DFT.

abc: 4.404 4.404 10.957
angles: 78.41 78.41 90.00
Fractional coordinates of all 8 atoms:
Sn: 0.250 0.750 0.500
Sn: 0.500 0.500 0.000
Ga: 0.127 0.625 0.250
Ga: 0.623 0.125 0.250
Ga: 0.375 0.377 0.750
Ga: 0.875 0.873 0.750
Tl: 0.750 0.250 0.500
Tl: 0.000 0.000 0.000

Summary:
energy above the lowest structure with this stoichiometry	10.8	kJ/mol of atoms
DOS at the Fermi energy	0.49	states/eV/atom
ΔH_f (0 K)	0.166	eV per atom



Values of size of the total moment, in order: 0.000, 0.000, 0.000, 0.000, 0.000, 0.000, 0.763, 0.509, 0.090, 0.000, 0.000, 0.000, all in μB per atom.